# P2WSeS | the Alexandria database | GGA-PBE | optimized geometry
data_P2WSeS
_chemical_formula_sum 'P2 W1 Se1 S1'
_symmetry_space_group_name_H-M 'P 1'
_symmetry_Int_Tables_number 1
_symmetry_space_group_name_Hall 'P 1'
_cell_length_a 4.6199
_cell_length_b 4.6199
_cell_length_c 4.5659
_cell_angle_alpha 90.00
_cell_angle_beta 90.00
_cell_angle_gamma 90.00
loop_
_atom_site_label
_atom_site_type_symbol
_atom_site_fract_x
_atom_site_fract_y
_atom_site_fract_z
P1 P 0.0000 0.5000 0.0000
P2 P 0.5000 0.0000 0.0000
Se1 Se 0.0000 0.0000 0.0000
W1 W 0.5000 0.5000 0.5000
S1 S 0.0000 0.0000 0.5000
# Energy relative to the lowest polymorph listed for this composition = 24.99 kcal/mol of atoms
# SG = P4/mmm, No. 123
# Raw formation energy = 1.60 eV/atom